No. 1
TiNb2Rh2 | GGA-PBE | optimized geometry

Lattice parameters (Å, degrees): 3.2422 3.2422 15.5211 90.00 90.00 90.00
With the nearest neighbours (Å) after each atom.
Space group I4/mmm (No. 139)
Symmetry-distinct sites (fractional):
Ti  0.0000  0.0000  0.0000  8 Rh 2.72, 2 Nb 3.03
Nb  0.0000  0.0000  0.1950  4 Rh 2.78, 4 Nb 2.86, 1 Ti 3.03
Rh  0.0000  0.0000  0.4058  4 Ti 2.72, 4 Nb 2.78, 1 Rh 2.92

Output
DOS(E_F) (states/eV/f.u.): 6.39
Spin magnetization (μB/atom): 0.00
ΔH_f (0 K) (eV per atom): -0.3772

***

No. 2
MoW2Se | GGA-PBE | optimized geometry

Lattice parameters (Å, degrees): 3.1982 4.6675 8.9028 90.00 90.00 90.00
With the nearest neighbours (Å) after each atom.
Space group Cmm2 (No. 35)
Symmetry-distinct sites (fractional):
Mo  0.0000  0.0000  0.0000  2 W 2.68, 2 Se 2.78, 4 Mo 2.83
W  0.0000  0.0000  0.5155  6 W 2.69-2.83, 2 Se 2.81
W  0.0000  0.5000  0.7582  2 Mo 2.68, 6 W 2.69-2.83
Se  0.0000  0.5000  0.2557  2 Mo 2.78, 2 W 2.81, 4 Se 2.83

Output
Energy (Ry/atom): -0.7079
DOS(E_F) (states/eV/f.u.): 3.42
Spin magnetization (μB/atom): 0.00

***

No. 3
Tm4GaAsS2 | GGA-PBE | optimized geometry

Lattice parameters (Å, degrees): 6.9302 3.9058 6.9377 90.00 108.85 90.00
With the nearest neighbours (Å) after each atom.
Space group P2/m (No. 10)
Symmetry-distinct sites (fractional):
Tm  0.2469  0.0000  0.2447  3 S 2.78-2.81, 2 Ga 2.83, 1 As 2.83
Tm  0.2526  0.5000  0.7501  3 S 2.80-2.83, 1 Ga 2.81, 2 As 2.82
Ga  0.5000  0.5000  0.5000  6 Tm 2.81-2.83
As  0.0000  0.0000  0.5000  6 Tm 2.82-2.83
S  0.0000  0.5000  0.0000  6 Tm 2.78-2.83
S  0.5000  0.0000  0.0000  6 Tm 2.80-2.81

Output
Energy (Ry/atom): -0.4185
DOS(E_F) (states/eV/f.u.): 2.98
Spin magnetization (μB/atom): 0.00

***

No. 4
Ac2TlPt | GGA-PBE | optimized geometry

Lattice parameters (Å, degrees): 4.3705 4.3705 25.9603 90.00 90.00 120.00
With the nearest neighbours (Å) after each atom.
Space group R3m (No. 160, hexagonal axes)
Symmetry-distinct sites (fractional):
Ac  0.0000  0.0000  0.0000  3 Pt 3.05
Ac  0.0000  0.0000  0.2008  3 Pt 3.06
Tl  0.0000  0.0000  0.4337  6 Ac 3.63
Pt  0.0000  0.0000  0.6005  6 Ac 3.05-3.06

Output
DOS(E_F) (states/eV/f.u.): 3.91
Spin magnetization (μB/atom): 0.00
ΔH_f (0 K) (eV per atom): -0.7059

***

No. 5
TbVIn | GGA-PBE | optimized geometry

Lattice parameters (Å, degrees): 5.2534 5.6496 5.7692 90.00 90.00 90.00
With the nearest neighbours (Å) after each atom.
Space group Amm2 (No. 38)
Symmetry-distinct sites (fractional):
Tb  0.0000  0.0000  0.0000  4 V 2.82-2.89
V  0.0000  0.0000  0.4997  2 In 2.72, 4 Tb 2.82-2.89
In  0.5000  0.0000  0.3791  2 V 2.72

Output
DOS(E_F) (states/eV/f.u.): 3.29
Spin magnetization (μB/atom): 1.08
ΔH_f (0 K) (eV per atom): 0.6649

***

No. 6
Mg2ZrPb | GGA-PBE | optimized geometry

Lattice parameters (Å, degrees): 4.3255 4.7258 9.4596 90.00 90.00 90.00
With the nearest neighbours (Å) after each atom.
Space group Cmm2 (No. 35)
Symmetry-distinct sites (fractional):
Mg  0.0000  0.0000  0.0000  8 Mg 3.15-3.29, 4 Zr 3.15-3.29
Mg  0.0000  0.5000  0.2416  8 Mg 3.15-3.29, 4 Pb 3.31-3.44
Zr  0.0000  0.5000  0.7577  4 Mg 3.15-3.29, 4 Zr 3.20, 4 Pb 3.21-3.35
Pb  0.0000  0.0000  0.5063  4 Pb 3.20, 4 Zr 3.21-3.35, 4 Mg 3.31-3.44

Output
DOS(E_F) (states/eV/f.u.): 2.97
Spin magnetization (μB/atom): 0.00
ΔH_f (0 K) (eV per atom): 0.0314

***

No. 7
PmHo3ErSc | GGA-PBE | optimized geometry

Lattice parameters (Å, degrees): 4.9429 14.8257 9.9240 90.00 90.00 90.00
With the nearest neighbours (Å) after each atom.
Space group Cmcm (No. 63)
Symmetry-distinct sites (fractional):
Pm  0.0000  0.0025  0.2500  2 Sc 3.48, 6 Ho 3.49-3.55, 4 Er 3.50
Ho  0.0000  0.1677  0.0002  5 Ho 3.46-3.50, 3 Sc 3.48-3.50, 2 Pm 3.49-3.54, 2 Er 3.51
Ho  0.0000  0.3306  0.2500  2 Sc 3.45, 6 Ho 3.46-3.50, 2 Er 3.53, 2 Pm 3.55
Er  0.0000  0.5000  0.0000  4 Pm 3.50, 6 Ho 3.51-3.53, 2 Sc 3.52
Sc  0.0000  0.3319  0.7500  8 Ho 3.45-3.50, 2 Pm 3.48, 2 Er 3.52

Output
DOS(E_F) (states/eV/f.u.): 8.72
Spin magnetization (μB/atom): 0.00
ΔH_f (0 K) (eV per atom): 0.0375

***

No. 8
Li2Ir2Pb | GGA-PBE | optimized geometry

Lattice parameters (Å, degrees): 7.0197 7.0197 3.2508 90.00 90.00 90.00
With the nearest neighbours (Å) after each atom.
Space group P4/mbm (No. 127)
Symmetry-distinct sites (fractional):
Li  0.1596  0.3404  0.0000  6 Ir 2.62-2.64
Ir  0.1313  0.6313  0.5000  1 Ir 2.61, 6 Li 2.62-2.64, 2 Pb 2.75
Pb  0.0000  0.0000  0.5000  4 Ir 2.75

Output
DOS(E_F) (states/eV/f.u.): 3.37
Spin magnetization (μB/atom): 0.00
ΔH_f (0 K) (eV per atom): 0.1340

***

No. 9
PrErGa2Pt2 | GGA-PBE | optimized geometry

Lattice parameters (Å, degrees): 4.4820 4.4820 7.1920 90.00 90.00 120.00
With the nearest neighbours (Å) after each atom.
Space group P-3m1 (No. 164)
Symmetry-distinct sites (fractional):
Pr  0.0000  0.0000  0.0000  6 Ga 3.27, 6 Pt 3.27, 2 Er 3.60
Er  0.0000  0.0000  0.5000  6 Pt 3.04, 6 Ga 3.04
Ga  0.3333  0.6667  0.2769  3 Pt 2.59
Pt  0.3333  0.6667  0.7214  3 Ga 2.59

Output
DOS(E_F) (states/eV/f.u.): 3.61
Spin magnetization (μB/atom): 0.00
ΔH_f (0 K) (eV per atom): -1.0491

***

No. 10
Mg2MoRu | GGA-PBE | optimized geometry

Lattice parameters (Å, degrees): 3.8034 3.8034 9.0268 90.00 90.00 90.00
With the nearest neighbours (Å) after each atom.
Space group I4/mmm (No. 139)
Symmetry-distinct sites (fractional):
Mg  0.0000  0.5000  0.2500  4 Mg 2.69, 4 Mo 2.95, 4 Ru 2.95
Mo  0.0000  0.0000  0.0000  4 Ru 2.69, 8 Mg 2.95
Ru  0.0000  0.0000  0.5000  4 Mo 2.69, 8 Mg 2.95

Output
DOS(E_F) (states/eV/f.u.): 3.78
Spin magnetization (μB/atom): 0.00
ΔH_f (0 K) (eV per atom): 0.2805

***

No. 11
La6TeBr8 | GGA-PBE | optimized geometry

Lattice parameters (Å, degrees): 7.5058 7.5058 32.1963 90.00 90.00 120.00
With the nearest neighbours (Å) after each atom.
Space group R-3 (No. 148, hexagonal axes)
Symmetry-distinct sites (fractional):
La  0.0000  0.3447  0.4461  5 Br 3.01-3.10, 1 Te 3.12
Te  0.0000  0.0000  0.5000  6 La 3.12
Br  0.0000  0.0000  0.1667  6 La 3.01
Br  0.0001  0.3247  0.6104  3 La 3.08-3.10

Output
Energy (Ry/atom): -0.3456
DOS(E_F) (states/eV/f.u.): 6.34
Spin magnetization (μB/atom): 0.00

***

No. 12
PuZrHgPd | GGA-PBE | optimized geometry

Lattice parameters (Å, degrees): 3.2927 3.2927 8.0761 90.00 90.00 90.00
With the nearest neighbours (Å) after each atom.
Space group P4mm (No. 99)
Symmetry-distinct sites (fractional):
Pu  0.0000  0.0000  0.0000  4 Pd 3.11, 4 Pu 3.29, 4 Hg 3.30
Zr  0.0000  0.0000  0.4565  4 Pd 2.84, 4 Hg 3.10
Hg  0.5000  0.5000  0.7098  4 Zr 3.10, 4 Hg 3.29, 4 Pu 3.30
Pd  0.5000  0.5000  0.2560  4 Zr 2.84, 4 Pu 3.11

Output
DOS(E_F) (states/eV/f.u.): 8.77
Spin magnetization (μB/atom): 1.41
ΔH_f (0 K) (eV per atom): -0.3072

***

No. 13
SnS | GGA-PBE | optimized geometry

Lattice parameters (Å, degrees): 3.9508 9.7276 8.4650 90.00 90.00 90.00
With the nearest neighbours (Å) after each atom.
Space group Amm2 (No. 38)
Symmetry-distinct sites (fractional):
Sn  0.0000  0.0000  0.0000  4 S 2.67-2.83
Sn  0.5000  0.2209  0.2451  3 S 2.62-2.74
S  0.0000  0.2120  0.4487  3 Sn 2.62-2.83
S  0.5000  0.0000  0.7870  4 Sn 2.67-2.74

Output
Energy (Ry/atom): -0.3263
DOS(E_F) (states/eV/f.u.): 0.09
Spin magnetization (μB/atom): 0.00